5
Lattice="5.235 0.000 0.000 0.000 5.235 0.000 0.000 0.000 5.454" Properties=species:S:1:pos:R:3 comment="YSb2PdI (GGA-PBE, optimized geometry)" relative_energy_ev_per_atom=0.0000 raw_formation_energy_ev_per_atom=-0.05 total_magnetization_mub_per_atom=0.00 e_tot_ev_per_cell=-21.7 pbc="T T T"
Y 0.000 0.000 0.000
Sb 0.000 2.618 2.727
Sb 2.618 0.000 2.727
Pd 2.618 2.618 2.727
I 2.618 2.618 0.000



5
Lattice="4.337 0.000 0.000 0.000 4.337 0.000 0.000 0.000 4.337" Properties=species:S:1:pos:R:3 comment="BiPF3 (GGA-PBE, optimized geometry)" relative_energy_ev_per_atom=1.0146 raw_formation_energy_ev_per_atom=-0.77 total_magnetization_mub_per_atom=0.00 e_tot_ev_per_cell=-18.8 pbc="T T T"
Bi 0.000 0.000 0.000
P 2.168 2.168 2.168
F 0.000 2.168 2.168
F 2.168 0.000 2.168
F 2.168 2.168 0.000



20
Lattice="5.473 -9.800 0.000 5.473 9.800 0.000 0.000 0.000 6.664" Properties=species:S:1:pos:R:3 comment="La6Nd3Tm (GGA-PBE, optimized geometry)" ef_ev_per_atom=0.11 total_magnetization_mub_per_atom=0.00 e_tot_ev_per_cell=-94.4 pbc="T T T"
La 5.473 9.179 3.332
La 3.052 4.066 6.591
La 5.473 4.281 4.636
La 3.572 0.785 5.328
La 3.572 -0.785 1.996
La 3.052 -4.066 3.259
La 7.895 4.066 6.591
La 7.375 0.785 5.328
La 7.375 -0.785 1.996
La 5.473 -4.281 1.304
La 7.895 -4.066 3.259
La 5.473 -9.179 0.000
Nd 1.915 2.328 2.620
Nd 1.915 -2.328 5.952
Nd 5.473 2.262 1.858
Nd 5.473 -2.262 5.190
Nd 9.032 2.328 2.620
Nd 9.032 -2.328 5.952
Tm 5.473 6.104 1.660
Tm 5.473 -6.104 4.992



16
Lattice="4.202 2.426 7.040 -4.202 2.426 7.040 0.000 -4.852 7.040" Properties=species:S:1:pos:R:3 comment="Y8CuTe4Se3 (GGA-PBE, optimized geometry)" raw_formation_energy_ev_per_atom=-1.38 total_magnetization_mub_per_atom=0.00 e_tot_ev_per_cell=-100.9 pbc="T T T"
Y 0.000 0.000 5.069
Y -2.013 -1.162 12.095
Y 0.000 -2.325 9.024
Y -2.013 1.162 9.024
Y 2.013 -1.162 12.095
Y 0.000 2.325 12.095
Y 2.013 1.162 9.024
Y 0.000 0.000 16.050
Cu 0.000 0.000 10.559
Te 0.000 0.000 0.000
Te -2.101 -1.213 7.040
Te -2.101 1.213 14.079
Te 0.000 2.426 7.040
Se -4.202 0.000 10.559
Se -2.101 1.213 3.520
Se 2.101 1.213 3.520



9
Lattice="2.854 1.648 6.202 -2.854 1.648 6.202 0.000 -3.295 6.202" Properties=species:S:1:pos:R:3 comment="PaP2O6 (GGA-PBE, optimized geometry)" raw_formation_energy_ev_per_atom=-2.43 total_magnetization_mub_per_atom=0.11 e_tot_ev_per_cell=-72.0 pbc="T T T"
Pa 0.000 0.000 0.000
P 0.000 0.000 11.332
P 0.000 0.000 13.474
O -1.301 -0.751 10.961
O -1.301 -0.751 13.843
O 1.301 -0.751 10.961
O 0.000 1.502 10.961
O 1.301 -0.751 13.843
O 0.000 1.503 13.843



10
Lattice="3.948 0.000 0.000 -0.301 8.214 0.000 -1.656 -1.782 8.188" Properties=species:S:1:pos:R:3 comment="NaSeS3 (GGA-PBE, optimized geometry)" relative_energy_ev_per_atom=0.0000 raw_formation_energy_ev_per_atom=-0.21 total_magnetization_mub_per_atom=0.00 e_tot_ev_per_cell=-36.5 pbc="T T T"
Na 0.000 0.000 0.000
Na 0.041 2.181 6.400
Se 0.240 6.174 3.000
Se 2.085 1.197 3.293
S -0.987 6.130 4.922
S 0.297 -0.835 6.145
S 1.988 1.669 1.191
S 2.039 3.010 4.460
S 2.934 4.839 1.692
S 1.987 3.580 8.057



9
Lattice="7.954 0.000 0.000 -3.977 6.889 0.000 0.000 0.000 3.336" Properties=species:S:1:pos:R:3 comment="Hf6Al2Pt (GGA-PBE, optimized geometry)" ef_ev_per_atom=-0.48 relative_energy_ev_per_atom=0.0000 total_magnetization_mub_per_atom=0.00 e_tot_ev_per_cell=-77.6 pbc="T T T"
Hf -1.584 2.744 0.000
Hf -2.912 5.044 1.668
Hf 1.065 1.844 1.668
Hf 3.168 0.000 0.000
Hf 2.393 4.145 0.000
Hf 5.825 0.000 1.668
Al 0.000 4.592 1.668
Al 3.977 2.296 1.668
Pt 0.000 0.000 0.000



8
Lattice="3.340 1.928 2.724 -3.340 1.928 2.724 0.000 -3.857 2.724" Properties=species:S:1:pos:R:3 comment="V6NiGe (GGA-PBE, optimized geometry)" ef_ev_per_atom=-0.21 total_magnetization_mub_per_atom=0.26 e_tot_ev_per_cell=-66.8 pbc="T T T"
V -0.849 -1.440 2.060
V -0.822 1.455 2.060
V -1.672 0.015 6.112
V 1.672 -0.015 2.060
V 0.822 -1.455 6.112
V 0.849 1.440 6.112
Ni 0.000 0.000 4.086
Ge 0.000 0.000 0.000



5
Lattice="5.047 0.000 0.000 0.000 5.047 0.000 0.000 0.000 4.863" Properties=species:S:1:pos:R:3 comment="BaNbSCl2 (GGA-PBE, optimized geometry)" relative_energy_ev_per_atom=0.0000 raw_formation_energy_ev_per_atom=-1.26 total_magnetization_mub_per_atom=0.04 e_tot_ev_per_cell=-26.1 pbc="T T T"
Ba 0.000 0.000 0.000
Nb 2.523 2.523 2.431
S 2.523 2.523 0.000
Cl 0.000 2.523 2.431
Cl 2.523 0.000 2.431



11
Lattice="0.000 4.480 7.573 2.647 0.000 7.573 2.647 4.480 0.000" Properties=species:S:1:pos:R:3 comment="Sc2Ga4Cu5 (GGA-PBE, optimized geometry)" ef_ev_per_atom=-0.22 total_magnetization_mub_per_atom=0.00 e_tot_ev_per_cell=-47.7 pbc="T T T"
Sc 2.647 4.480 2.514
Sc 2.647 4.480 12.632
Ga 2.647 3.139 5.579
Ga 2.647 3.139 9.567
Ga 2.647 5.821 5.579
Ga 2.647 5.821 9.567
Cu 1.324 2.240 0.000
Cu 1.324 2.240 3.787
Cu 1.324 2.240 7.573
Cu 2.647 4.480 7.573
Cu 3.971 6.720 11.360



20
Lattice="9.902 0.000 0.000 0.000 9.902 0.000 0.000 0.000 3.980" Properties=species:S:1:pos:R:3 comment="Nd2Zn5AgPd2 (GGA-PBE, optimized geometry)" ef_ev_per_atom=-0.39 total_magnetization_mub_per_atom=0.00 e_tot_ev_per_cell=-66.0 pbc="T T T"
Nd 1.815 3.136 0.000
Nd 3.136 8.087 0.000
Nd 6.766 1.815 0.000
Nd 8.087 6.766 0.000
Zn 0.000 4.951 1.990
Zn 0.512 7.924 1.990
Zn 1.978 0.512 1.990
Zn 2.973 5.463 1.990
Zn 4.439 2.973 1.990
Zn 4.951 0.000 1.990
Zn 5.463 6.929 1.990
Zn 6.929 4.439 1.990
Zn 7.924 9.390 1.990
Zn 9.390 1.978 1.990
Ag 0.000 0.000 0.000
Ag 4.951 4.951 0.000
Pd 1.139 6.090 0.000
Pd 3.812 1.139 0.000
Pd 6.090 8.763 0.000
Pd 8.763 3.812 0.000



12
Lattice="3.928 -6.800 0.000 3.928 6.800 0.000 -2.620 0.000 8.606" Properties=species:S:1:pos:R:3 comment="Ac6Pt2AuI3 (GGA-PBE, optimized geometry)" raw_formation_energy_ev_per_atom=-1.13 total_magnetization_mub_per_atom=0.00 e_tot_ev_per_cell=-58.2 pbc="T T T"
Ac -0.042 2.337 6.997
Ac 1.228 0.000 1.608
Ac -0.042 -2.337 6.997
Ac 5.277 2.337 1.609
Ac 4.006 0.000 6.998
Ac 5.277 -2.337 1.609
Pt 3.928 4.532 0.000
Pt 3.928 -4.532 0.000
Au 3.928 0.000 0.000
I -1.310 0.000 4.303
I 2.617 2.250 4.303
I 2.617 -2.250 4.303



Number 1: V 29.90 A^3/atom. Number 2: V 16.32 A^3/atom. Number 3: V 35.75 A^3/atom. Number 4: V 26.91 A^3/atom. Number 5: V 19.44 A^3/atom. Number 6: V 26.56 A^3/atom. Number 7: V 20.31 A^3/atom. Number 8: V 13.16 A^3/atom. Number 9: V 24.77 A^3/atom. Number 10: V 16.33 A^3/atom. Number 11: V 19.51 A^3/atom. Number 12: V 38.30 A^3/atom.